[1]
This record from Alexandria describes a relaxed structure of K3Rb2Te6. The functional is PBE.

a b c (Å): 9.1283 9.1283 7.0106
angles (deg): 102.37 102.37 79.28
Last column: nearest neighbours and their distance in Å.
Positions (direct):
K: 0.0000 0.0000 0.0000  2 Te 3.39
K: 0.2766 0.7234 0.5000  4 Te 3.47-3.51
K: 0.7234 0.2766 0.5000  4 Te 3.47-3.51
Rb: 0.2981 0.2981 0.9514  6 Te 3.68-4.04
Rb: 0.7019 0.7019 0.0486  6 Te 3.68-4.04
Te: 0.0224 0.5920 0.7025  2 Te 2.96-3.06
Te: 0.2911 0.7089 0.0000  2 Te 3.06, 1 K 3.39
Te: 0.4080 0.9776 0.2975  2 Te 2.96-3.06
Te: 0.5920 0.0224 0.7025  2 Te 2.96-3.06
Te: 0.7089 0.2911 0.0000  2 Te 3.06, 1 K 3.39
Te: 0.9776 0.4080 0.2975  2 Te 2.96-3.06

The calculation puts the uncorrected energy at -2.858 eV/atom. The calculation puts the size of the total moment at 0.00 Bohr magnetons per cell. Its formation energy (no corrections) is -0.67 eV per atom. The value obtained for the volume is 50.12 A^3/atom.

=====

[2]
This record from Alexandria describes a relaxed structure of Na2AgGeI4. The functional is PBE.

a b c (Å): 7.5763 4.9218 7.6062
angles (deg): 90.00 111.33 90.00
Last column: nearest neighbours and their distance in Å.
Positions (direct):
Na: 0.0000 0.0000 0.0000  6 I 3.22-3.32
Na: 0.5000 0.5000 0.0000  6 I 3.26-3.29
Ag: 0.0000 0.5000 0.5000  6 I 3.01-3.23
Ge: 0.5000 0.0000 0.5000  6 I 3.05-3.21
I: 0.2496 0.5000 0.2695  1 Ag 3.01, 2 Ge 3.21, 3 Na 3.26-3.32
I: 0.2508 0.0000 0.7380  1 Ge 3.05, 3 Na 3.22-3.29, 2 Ag 3.23
I: 0.7492 0.0000 0.2620  1 Ge 3.05, 3 Na 3.22-3.29, 2 Ag 3.23
I: 0.7504 0.5000 0.7305  1 Ag 3.01, 2 Ge 3.21, 3 Na 3.26-3.32

The calculation puts the uncorrected energy at -2.535 eV/atom. The calculation puts the size of the total moment at 0.10 Bohr magnetons per cell. Its formation energy (no corrections) is -0.50 eV per atom. The value obtained for the volume is 33.02 A^3/atom.

=====

[3]
This record from Alexandria describes a relaxed structure of ZnRePd. The functional is PBE.

a b c (Å): 2.7617 2.7617 6.6862
angles (deg): 90.00 90.00 120.00
Last column: nearest neighbours and their distance in Å.
Positions (direct):
Zn: 0.0000 0.0000 0.0000  3 Pd 2.70, 6 Zn 2.76, 3 Re 2.77
Re: 0.6667 0.3333 0.6604  3 Pd 2.75, 6 Re 2.76, 3 Zn 2.77
Pd: 0.3333 0.6667 0.3262  3 Zn 2.70, 3 Re 2.75, 6 Pd 2.76

For the formation energy, the calculation gives 24 meV per atom. The calculation puts the uncorrected energy at -6.281 eV/atom. The calculation puts the size of the total moment at 0.00 Bohr magnetons per cell. The value obtained for the volume is 14.72 A^3/atom. The relative energy among the computed polymorphs comes out at 0.05 eV per formula unit.

=====

[4]
This record from Alexandria describes a relaxed structure of Mn2IrPt. The functional is PBE.

a b c (Å): 4.7509 4.7509 4.7509
angles (deg): 133.24 133.24 68.28
Last column: nearest neighbours and their distance in Å.
Positions (direct):
Mn: 0.0000 0.0000 0.0000  4 Ir 2.67, 4 Mn 2.72, 4 Pt 2.72
Mn: 0.7500 0.2500 0.5000  4 Pt 2.67, 4 Ir 2.72, 4 Mn 2.72
Ir: 0.5000 0.5000 0.0000  8 Mn 2.67-2.72, 4 Pt 2.72
Pt: 0.2500 0.7500 0.5000  8 Mn 2.67-2.72, 4 Ir 2.72

For the formation energy, the calculation gives -132 meV per atom. The calculation puts the uncorrected energy at -8.443 eV/atom. The calculation puts the size of the total moment at 5.75 Bohr magnetons per cell. The value obtained for the volume is 13.98 A^3/atom. The relative energy among the computed polymorphs comes out at 0.46 eV per formula unit.

=====

[5]
This record from Alexandria describes a relaxed structure of ZrInSe. The functional is PBE.

a b c (Å): 3.9074 3.9074 8.6908
angles (deg): 90.00 90.00 90.00
Last column: nearest neighbours and their distance in Å.
Positions (direct):
Zr: 0.2500 0.2500 0.2118  5 Se 2.87-2.88, 4 In 3.18
Zr: 0.7500 0.7500 0.7882  5 Se 2.87-2.88, 4 In 3.18
In: 0.2500 0.7500 0.5000  4 In 2.76
In: 0.7500 0.2500 0.5000  4 In 2.76
Se: 0.2500 0.2500 0.8818  5 Zr 2.87-2.88
Se: 0.7500 0.7500 0.1182  5 Zr 2.87-2.88

The calculation puts the uncorrected energy at -5.648 eV/atom. The calculation puts the size of the total moment at 0.00 Bohr magnetons per cell. Its formation energy (no corrections) is -0.72 eV per atom. The value obtained for the volume is 22.11 A^3/atom. The relative energy among the computed polymorphs comes out at 0.00 eV per formula unit.

=====

[6]
This record from Alexandria describes a relaxed structure of HoInIrPd. The functional is PBE.

a b c (Å): 4.7491 4.7491 4.7491
angles (deg): 60.00 60.00 60.00
Last column: nearest neighbours and their distance in Å.
Positions (direct):
Ho: 0.0000 0.0000 0.0000  4 Pd 2.91, 4 Ir 2.91
In: 0.5000 0.5000 0.5000  4 Pd 2.91, 4 Ir 2.91
Ir: 0.2500 0.2500 0.2500  4 In 2.91, 4 Ho 2.91
Pd: 0.7500 0.7500 0.7500  4 In 2.91, 4 Ho 2.91

For the formation energy, the calculation gives -682 meV per atom. The calculation puts the uncorrected energy at -6.024 eV/atom. The calculation puts the size of the total moment at 0.00 Bohr magnetons per cell. The value obtained for the volume is 18.93 A^3/atom.

=====

What did the third record say?
This record from Alexandria describes a relaxed structure of ZnRePd. The functional is PBE.

a b c (Å): 2.7617 2.7617 6.6862
angles (deg): 90.00 90.00 120.00
Last column: nearest neighbours and their distance in Å.
Positions (direct):
Zn: 0.0000 0.0000 0.0000  3 Pd 2.70, 6 Zn 2.76, 3 Re 2.77
Re: 0.6667 0.3333 0.6604  3 Pd 2.75, 6 Re 2.76, 3 Zn 2.77
Pd: 0.3333 0.6667 0.3262  3 Zn 2.70, 3 Re 2.75, 6 Pd 2.76

For the formation energy, the calculation gives 24 meV per atom. The calculation puts the uncorrected energy at -6.281 eV/atom. The calculation puts the size of the total moment at 0.00 Bohr magnetons per cell. The value obtained for the volume is 14.72 A^3/atom. The relative energy among the computed polymorphs comes out at 0.05 eV per formula unit.

=====

Which value of uncorrected energy does entry 4 give?
-8.443 eV/atom

=====

The lowest uncorrected energy belongs to which entry?
Mn2IrPt